Material: KTl2BiSe
Method: DFT, GGA-PBE
State: optimized geometry

The structure belongs to space group P4/mmm (No. 123); the cell edges are 5.8680, 5.8680 and 6.5537 Å and the angles 90.00°, 90.00° and 90.00°. Symmetry generates all atoms from K at (0.0000, 0.0000, 0.0000), Tl at (0.0000, 0.5000, 0.5000), Bi at (0.0000, 0.0000, 0.5000) and Se at (0.5000, 0.5000, 0.0000).

For the raw formation energy, the calculation gives 3.4 kcal/mol of atoms. For the mass density, the calculation gives 5.414 g cm⁻³.



Material: YTaRe2Au
Method: DFT, GGA-PBE
State: optimized geometry

The structure belongs to space group P4/mmm (No. 123); the cell edges are 4.9538, 4.9538 and 4.8403 Å and the angles 90.00°, 90.00° and 90.00°. Symmetry generates all atoms from Y at (0.0000, 0.0000, 0.0000), Ta at (0.5000, 0.5000, 0.0000), Re at (0.0000, 0.5000, 0.5000) and Au at (0.5000, 0.5000, 0.5000).

For the mass density, the calculation gives 11.732 g cm⁻³. The value obtained for the formation energy is 1889 meV per atom.



Material: Rb2LiC2O6
Method: DFT, GGA-PBE
State: optimized geometry

The structure belongs to space group C2/m (No. 12); the cell edges are 11.9958, 5.0809 and 6.8659 Å and the angles 90.00°, 119.74° and 90.00°. Symmetry generates all atoms from Rb at (0.1912, 0.0000, 0.1876), Li at (0.0000, 0.0000, 0.5000), C at (0.0079, 0.5000, 0.2769), O at (0.0523, 0.2797, 0.7474) and O at (0.1257, 0.5000, 0.3235).

For the raw formation energy, the calculation gives -37.7 kcal/mol of atoms. For the mass density, the calculation gives 2.723 g cm⁻³.



Material: La2UPaN4
Method: DFT, GGA-PBE
State: optimized geometry

The structure belongs to space group P2/m (No. 10); the cell edges are 6.1959, 3.5747 and 6.2448 Å and the angles 90.00°, 109.14° and 90.00°. Symmetry generates all atoms from La at (0.0000, 0.0000, 0.0000), La at (0.5000, 0.5000, 0.0000), U at (0.0000, 0.5000, 0.5000), Pa at (0.5000, 0.0000, 0.5000), N at (0.2262, 0.0000, 0.6965) and N at (0.2600, 0.5000, 0.3022).

For the raw formation energy, the calculation gives -34.1 kcal/mol of atoms. For the mass density, the calculation gives 10.204 g cm⁻³.



Material: KLiZr2
Method: DFT, GGA-PBE
State: optimized geometry

The structure belongs to space group I-4m2 (No. 119); the cell edges are 5.3807, 5.3807 and 7.5899 Å and the angles 90.00°, 90.00° and 90.00°. Symmetry generates all atoms from K at (0.0000, 0.0000, 0.0000), Li at (0.0000, 0.5000, 0.2500), Zr at (0.0000, 0.0000, 0.5000) and Zr at (0.0000, 0.5000, 0.7500).

For the mass density, the calculation gives 3.453 g cm⁻³. The value obtained for the formation energy is 979 meV per atom.



Material: NaCaPmMg
Method: DFT, GGA-PBE
State: optimized geometry

The structure belongs to space group F-43m (No. 216); the cell edges are 8.0239, 8.0239 and 8.0239 Å and the angles 90.00°, 90.00° and 90.00°. Symmetry generates all atoms from Na at (0.0000, 0.0000, 0.0000), Ca at (0.2500, 0.2500, 0.2500), Pm at (0.2500, 0.2500, 0.7500) and Mg at (0.0000, 0.0000, 0.5000).

For the mass density, the calculation gives 2.988 g cm⁻³. The value obtained for the formation energy is 97 meV per atom.



Material: PuHgPt
Method: DFT, GGA-PBE
State: optimized geometry

The structure belongs to space group Pmma (No. 51); the cell edges are 13.5498, 3.8520 and 7.8195 Å and the angles 90.00°, 90.00° and 90.00°. Symmetry generates all atoms from Pu at (0.0508, 0.0000, 0.2266), Pu at (0.2500, 0.0000, 0.8260), Hg at (0.1092, 0.5000, 0.5610), Hg at (0.2500, 0.5000, 0.1752), Pt at (0.0943, 0.5000, 0.9287) and Pt at (0.2500, 0.0000, 0.4406).

For the mass density, the calculation gives 15.616 g cm⁻³. The value obtained for the formation energy is -505 meV per atom.



Material: PmPaCo2
Method: DFT, GGA-PBE
State: optimized geometry

The structure belongs to space group P4/mmm (No. 123); the cell edges are 3.3500, 3.3500 and 6.9180 Å and the angles 90.00°, 90.00° and 90.00°. Symmetry generates all atoms from Pm at (0.0000, 0.0000, 0.0000), Pa at (0.0000, 0.0000, 0.5000) and Co at (0.5000, 0.5000, 0.3077).

For the mass density, the calculation gives 10.564 g cm⁻³. The value obtained for the formation energy is -210 meV per atom.



Material: Tb3Ge5Se12
Method: DFT, GGA-PBE
State: optimized geometry

The structure belongs to space group Ia-3d (No. 230); the cell edges are 16.1226, 16.1226 and 16.1226 Å and the angles 90.00°, 90.00° and 90.00°. Symmetry generates all atoms from Tb at (0.0000, 0.2500, 0.1250), Ge at (0.0000, 0.0000, 0.0000), Ge at (0.0000, 0.2500, 0.3750) and Se at (0.0240, 0.0631, 0.6547).

For the raw formation energy, the calculation gives -18.2 kcal/mol of atoms. For the mass density, the calculation gives 5.666 g cm⁻³.



Material: Li4TlIn15
Method: DFT, GGA-PBE
State: optimized geometry

The structure belongs to space group P4/mmm (No. 123); the cell edges are 4.5661, 4.5661 and 23.6562 Å and the angles 90.00°, 90.00° and 90.00°. Symmetry generates all atoms from Li at (0.0000, 0.0000, 0.0981), Li at (0.0000, 0.0000, 0.2871), Tl at (0.0000, 0.0000, 0.5000), In at (0.0000, 0.5000, 0.0000), In at (0.0000, 0.5000, 0.1935), In at (0.0000, 0.5000, 0.3871), In at (0.5000, 0.5000, 0.0973), In at (0.5000, 0.5000, 0.2898) and In at (0.5000, 0.5000, 0.5000).

For the mass density, the calculation gives 6.580 g cm⁻³. The value obtained for the formation energy is -97 meV per atom.



Material: SmGa6Cu12
Method: DFT, GGA-PBE
State: optimized geometry

The structure belongs to space group R-3m (No. 166, hexagonal axes); the cell edges are 10.7772, 10.7772 and 8.4983 Å and the angles 90.00°, 90.00° and 120.00°. Symmetry generates all atoms from Sm at (0.0000, 0.0000, 0.0000), Ga at (0.0496, 0.5248, 0.2465), Cu at (0.0000, 0.3883, 0.5000) and Cu at (0.0835, 0.1670, 0.2991).

For the mass density, the calculation gives 7.758 g cm⁻³. The value obtained for the formation energy is -62 meV per atom.



Material: NdScZn2Au4
Method: DFT, GGA-PBE
State: optimized geometry

The structure belongs to space group R-3m (No. 166, hexagonal axes); the cell edges are 4.6407, 4.6407 and 25.5001 Å and the angles 90.00°, 90.00° and 120.00°. Symmetry generates all atoms from Nd at (0.0000, 0.0000, 0.0000), Sc at (0.0000, 0.0000, 0.5000), Zn at (0.0000, 0.0000, 0.2421), Au at (0.0000, 0.0000, 0.1259) and Au at (0.0000, 0.0000, 0.3918).

For the mass density, the calculation gives 11.604 g cm⁻³. The value obtained for the formation energy is -595 meV per atom.